# PBE Sc12NbC7, relaxed
data_Sc12NbC7
_chemical_formula_sum 'Sc36 Nb3 C21'
_space_group_name_H-M_alt 'R -3'
_space_group_IT_number 148
_space_group_name_Hall '-R 3'
_cell_length_a 11.9204
_cell_length_b 11.9204
_cell_length_c 8.0938
_cell_angle_alpha 90.00
_cell_angle_beta 90.00
_cell_angle_gamma 120.00
loop_
_atom_site_label
_atom_site_type_symbol
_atom_site_fract_x
_atom_site_fract_y
_atom_site_fract_z
Sc1 Sc 0.0301 0.5873 0.1577
Sc2 Sc 0.0485 0.1676 0.8259
Nb1 Nb 0.0000 0.0000 0.5000
C1 C 0.0000 0.0000 0.0000
C2 C 0.0495 0.1793 0.3366
# **E_tot**: -480.1 eV for the cell shown
# **Energy of formation**: -9.42 eV per formula unit